Entry 1:
SrLaBi2 PBE optimized geometry; raw total energy = -17.44 eV/cell; energy of formation from the pure elements = -0.77 eV per atom; magnetization = 0.00 μB per formula unit; ΔE to the lowest computed polymorph = 0.292 eV per formula unit; V = 159.4 Å³ per cell
1.0
-3.1356 1.0195 -3.6494
-2.8553 -3.5502 -1.8527
-7.3878 0.8308 3.2656
Sr La Bi
1 1 2
Cartesian
-11.3326 -0.8716 -0.4489
-6.7516 -0.8306 -1.0594
-5.9475 0.3834 1.9031
-3.4239 -0.4004 -0.4841

---

Entry 2:
Sr5LaBi5 PBE optimized geometry; raw total energy = -41.06 eV/cell; energy of formation from the pure elements = -0.76 eV per atom; magnetization = 0.00 μB per formula unit; V = 477.7 Å³ per cell
1.0
6.7262 0.0000 0.0000
-3.3631 7.9082 0.0438
0.0000 -2.9116 8.9641
Sr La Bi
5 1 5
Cartesian
3.3631 1.9426 2.9180
3.3631 0.3350 7.6763
0.0000 -1.4558 4.4820
0.0000 4.6615 1.3316
0.0000 3.0539 6.0899
0.0000 0.0000 0.0000
3.3631 5.0121 1.5816
3.3631 3.4140 6.0416
3.3631 0.0000 0.0000
0.0000 1.5825 2.9662
0.0000 -0.0155 7.4263

---

Entry 3:
SrLaBi2 PBE optimized geometry; raw total energy = -34.30 eV/cell; energy of formation from the pure elements = -0.70 eV per atom; magnetization = 0.00 μB per formula unit; ΔE to the lowest computed polymorph = 0.578 eV per formula unit; V = 298.8 Å³ per cell
1.0
8.8298 0.0000 0.0000
0.0000 8.8298 0.0000
4.4149 4.4149 3.8324
Sr Bi La
2 4 2
Cartesian
4.4149 4.4149 0.0000
4.4149 8.8298 1.9162
6.6691 2.2074 0.9581
2.1607 6.6223 0.9581
6.6223 6.5755 2.8743
11.0372 11.0840 2.8743
0.0000 0.0000 0.0000
8.8298 4.4149 1.9162

---

Entry 4:
SrLaBi2 PBE optimized geometry; raw total energy = -17.56 eV/cell; energy of formation from the pure elements = -0.80 eV per atom; magnetization = 0.00 μB per formula unit; ΔE to the lowest computed polymorph = 0.171 eV per formula unit; V = 136.3 Å³ per cell
1.0
4.3022 0.0000 0.0000
0.0000 4.3022 0.0000
0.0000 0.0000 7.3629
Sr Bi La
1 2 1
Cartesian
2.1511 2.1511 3.6814
0.0000 0.0000 5.6124
0.0000 0.0000 1.7505
2.1511 2.1511 0.0000

---

Entry 5:
SrLaBi PBE optimized geometry; raw total energy = -22.71 eV/cell; energy of formation from the pure elements = -0.29 eV per atom; magnetization = 0.00 μB per formula unit; ΔE to the lowest computed polymorph = 1.360 eV per formula unit; V = 226.0 Å³ per cell
1.0
-6.4079 -0.2986 0.4458
0.2466 -3.4116 1.2594
3.5517 5.2208 8.1723
La Sr Bi
2 2 2
Cartesian
-3.0412 1.0137 3.3416
0.4316 0.4968 6.5359
-4.6894 -1.9301 0.9646
-1.4719 -1.7802 0.7407
0.2716 -0.6463 3.4708
-2.8812 2.1568 6.4067

---

Entry 6:
SrLaBi2 PBE optimized geometry; raw total energy = -17.66 eV/cell; energy of formation from the pure elements = -0.82 eV per atom; magnetization = 0.22 μB per formula unit; ΔE to the lowest computed polymorph = 0.070 eV per formula unit; V = 135.0 Å³ per cell
1.0
3.5933 0.0000 0.0000
0.0000 6.1293 0.0000
0.0000 0.0000 6.1293
Sr Bi La
1 2 1
Cartesian
1.7967 0.0000 0.0000
0.0000 0.0000 3.0646
0.0000 3.0646 0.0000
1.7967 3.0646 3.0646

---

Entry 7:
SrLa2Bi9 PBE optimized geometry; raw total energy = -52.68 eV/cell; energy of formation from the pure elements = -0.52 eV per atom; magnetization = 0.00 μB per formula unit; V = 384.8 Å³ per cell
1.0
4.9626 0.0000 0.0000
0.0000 4.9626 0.0000
0.0000 0.0000 15.6244
Sr La Bi
1 2 9
Cartesian
0.0000 0.0000 0.0000
0.0000 0.0000 5.2882
0.0000 0.0000 10.3362
2.4813 2.4813 0.0000
2.4813 2.4813 5.2010
2.4813 2.4813 10.4234
2.4813 0.0000 2.6563
2.4813 0.0000 7.8122
2.4813 0.0000 12.9681
0.0000 2.4813 2.6563
0.0000 2.4813 7.8122
0.0000 2.4813 12.9681

---

Entry 8:
SrLaBi6 PBE optimized geometry; raw total energy = -33.89 eV/cell; energy of formation from the pure elements = -0.50 eV per atom; magnetization = 0.00 μB per formula unit; V = 257.6 Å³ per cell
1.0
4.9588 0.0000 0.0000
0.0000 4.9588 0.0000
0.0000 0.0000 10.4744
Sr La Bi
1 1 6
Cartesian
0.0000 0.0000 0.0000
0.0000 0.0000 5.2372
2.4794 2.4794 0.0000
2.4794 2.4794 5.2372
2.4794 0.0000 2.6414
2.4794 0.0000 7.8330
0.0000 2.4794 2.6414
0.0000 2.4794 7.8330

---

Entry 9:
Sr2LaBi3 PBE optimized geometry; raw total energy = -24.53 eV/cell; energy of formation from the pure elements = -0.77 eV per atom; magnetization = 0.00 μB per formula unit; V = 225.9 Å³ per cell
1.0
3.9599 0.0000 0.0000
0.0000 6.8344 0.0000
-1.9800 -3.4172 8.3480
Sr La Bi
2 1 3
Cartesian
1.9800 0.0000 2.8188
0.0000 3.4172 5.5292
0.0000 3.4172 0.0000
0.0000 0.0000 5.6399
0.0000 0.0000 0.0000
1.9800 3.4172 2.7081

---

Entry 10:
SrLa4Bi5 PBE optimized geometry; raw total energy = -50.53 eV/cell; energy of formation from the pure elements = -0.97 eV per atom; magnetization = 0.00 μB per formula unit; V = 374.6 Å³ per cell
1.0
-3.3197 0.3958 -3.3315
-4.5895 -2.2469 4.3063
1.7776 12.0663 3.0054
Sr La Bi
1 4 5
Cartesian
0.0000 0.0000 0.0000
-1.7471 8.9406 2.8030
-5.2566 5.7370 2.5762
-0.8751 4.4781 1.4040
-4.3845 1.2746 1.1772
-2.1177 2.5406 -0.9313
-2.9713 6.9091 0.4383
-3.1603 3.3060 3.5419
-2.2947 -1.1235 2.1531
-4.0140 7.6746 4.9115

---

Entry 11:
Sr3LaBi PBE optimized geometry; raw total energy = -10.46 eV/cell; energy of formation from the pure elements = 0.68 eV per atom; magnetization = 0.00 μB per formula unit; V = 223.5 Å³ per cell
1.0
-2.7857 4.7043 -2.6345
-5.2965 -2.9425 0.3463
-1.0088 2.4582 5.4563
Sr Bi La
3 1 1
Cartesian
-2.6483 -1.4712 0.1732
-0.5044 1.2291 2.7281
-1.3929 2.3521 -1.3172
-4.5455 2.1100 1.5841
0.0000 0.0000 0.0000

---

Entry 12:
SrLaBi2 PBE optimized geometry; raw total energy = -17.44 eV/cell; energy of formation from the pure elements = -0.77 eV per atom; magnetization = 0.00 μB per formula unit; ΔE to the lowest computed polymorph = 0.292 eV per formula unit; V = 137.9 Å³ per cell
1.0
0.0000 4.1006 4.1006
4.1006 0.0000 4.1006
4.1006 4.1006 0.0000
Sr Bi La
1 2 1
Cartesian
0.0000 0.0000 0.0000
2.0503 2.0503 2.0503
6.1510 6.1510 6.1510
4.1006 4.1006 4.1006

---

Entry 13:
SrLa5Bi6 PBE optimized geometry; raw total energy = -61.49 eV/cell; energy of formation from the pure elements = -0.99 eV per atom; magnetization = 0.00 μB per formula unit; V = 448.3 Å³ per cell
1.0
-6.5114 2.8551 -4.0472
0.9290 -1.4082 -8.0148
-2.7476 -6.9916 -3.2750
Sr La Bi
1 5 6
Cartesian
0.0000 0.0000 0.0000
-4.9465 -3.4953 -5.5396
-0.6105 -2.8083 -3.7623
-2.7912 0.7234 -6.0310
-1.2082 -5.5915 -7.5275
-3.3835 -2.0494 -9.7974
-5.7149 -0.3671 -4.8145
-2.0527 -2.4635 -6.7492
-1.4069 0.3605 -3.0752
-4.1755 1.0863 -8.9868
-6.2773 -3.0812 -8.5878
-2.6151 -5.1776 -10.5225

---

Entry 14:
SrLaBi PBE optimized geometry; raw total energy = -25.43 eV/cell; energy of formation from the pure elements = -0.74 eV per atom; magnetization = 0.08 μB per formula unit; ΔE to the lowest computed polymorph = 0.000 eV per formula unit; V = 221.5 Å³ per cell
1.0
4.8715 -0.0001 -0.0105
0.0001 4.8715 0.0105
0.0238 -0.0238 9.3339
Sr La Bi
2 2 2
Cartesian
1.2349 3.6366 6.0538
3.6605 1.2110 3.2801
3.6510 3.6509 0.0000
1.2205 1.2205 0.0000
3.6733 1.1981 6.7993
1.2221 3.6495 2.5346

---

Entry 15:
Sr5LaBi4 PBE optimized geometry; raw total energy = -36.74 eV/cell; energy of formation from the pure elements = -0.79 eV per atom; magnetization = 0.00 μB per formula unit; V = 407.1 Å³ per cell
1.0
-0.2319 3.8815 3.8479
0.6819 -5.7783 5.8698
8.4414 4.2759 -7.6932
Sr La Bi
5 1 4
Cartesian
5.8673 2.2023 2.0206
5.6656 5.1957 -1.0111
3.2259 -2.8166 3.0356
0.2250 -0.9484 4.8588
3.0242 0.1768 0.0039
-0.1159 1.9407 1.9239
5.9216 -1.1484 1.5152
8.3917 3.7815 0.5797
2.9699 3.5275 0.5092
0.4997 -1.4024 1.4448

---

Entry 16:
SrLaBi3 PBE optimized geometry; raw total energy = -18.79 eV/cell; energy of formation from the pure elements = -0.11 eV per atom; magnetization = 0.00 μB per formula unit; ΔE to the lowest computed polymorph = 0.000 eV per formula unit; V = 228.7 Å³ per cell
1.0
-1.8603 -4.7439 3.3809
4.3539 1.2257 4.1155
-3.8702 3.6591 3.0046
Sr Bi La
1 3 1
Cartesian
-0.6884 0.0704 5.2505
2.1769 0.6128 2.0577
-1.9351 1.8295 1.5023
-0.9302 -2.3719 1.6904
0.0000 0.0000 0.0000

---

Entry 17:
SrLaBi2 PBE optimized geometry; raw total energy = -70.77 eV/cell; energy of formation from the pure elements = -0.83 eV per atom; magnetization = 0.00 μB per formula unit; ΔE to the lowest computed polymorph = 0.038 eV per formula unit; V = 614.2 Å³ per cell
1.0
6.7361 0.0000 0.0000
0.0000 6.7293 0.2946
0.0000 -0.5892 13.5239
Sr La Bi
4 4 8
Cartesian
1.6912 6.5081 5.3648
5.0449 -0.3680 8.4537
1.6912 3.2913 1.8389
5.0449 2.8489 11.9796
1.6784 2.9967 8.5991
5.0577 3.1434 5.2194
1.6784 6.2135 12.1287
5.0577 -0.0733 1.6898
5.0458 6.2087 12.2379
1.6903 -0.0685 1.5806
5.0458 3.0015 8.4899
1.6903 3.1386 5.3286
5.0597 3.2861 1.9481
1.6765 2.8540 11.8704
5.0597 -0.2160 4.9611
1.6765 6.3561 8.8574

---

Entry 18:
SrLaBi2 PBE optimized geometry; raw total energy = -70.70 eV/cell; energy of formation from the pure elements = -0.83 eV per atom; magnetization = 0.00 μB per formula unit; ΔE to the lowest computed polymorph = 0.054 eV per formula unit; V = 605.5 Å³ per cell
1.0
6.5732 0.0000 -1.5546
0.0000 6.7774 0.0000
-0.1148 0.0000 13.6178
Sr La Bi
4 4 8
Cartesian
3.3219 5.0783 4.2280
3.1365 1.6991 7.8352
6.4805 5.0783 0.2490
-0.0221 1.6991 11.8142
6.4924 5.0904 6.9483
-0.0340 1.6870 5.1149
3.1952 5.0904 11.1465
3.2632 1.6870 0.9167
0.0481 1.6900 1.7916
6.4103 5.0874 10.2716
3.1811 1.6900 4.2400
3.2773 5.0874 7.8232
3.3639 1.7006 11.2990
3.0945 5.0768 0.7642
6.3237 1.7006 6.7958
0.1347 5.0768 5.2674

---

Entry 19:
SrLaBi2 PBE optimized geometry; raw total energy = -17.73 eV/cell; energy of formation from the pure elements = -0.84 eV per atom; magnetization = 0.00 μB per formula unit; ΔE to the lowest computed polymorph = 0.000 eV per formula unit; V = 154.4 Å³ per cell
1.0
-1.2597 -3.8511 2.4178
3.2045 -3.3203 0.9850
2.4065 1.3420 7.9955
Sr Bi La
1 2 1
Cartesian
2.1756 -2.9147 5.6992
1.0643 -1.5072 2.7579
3.2869 -4.3221 8.6405
0.0000 0.0000 0.0000

---

Entry 20:
Sr2La2Bi PBE optimized geometry; raw total energy = -35.99 eV/cell; energy of formation from the pure elements = -0.18 eV per atom; magnetization = 1.19 μB per formula unit; V = 430.9 Å³ per cell
1.0
-6.4530 -5.2785 -1.1846
3.9115 -5.8263 4.6542
-2.6972 2.1771 4.9921
Sr Bi La
4 2 4
Cartesian
0.1794 -3.6933 5.4070
-2.4078 -7.2848 5.5754
-5.4182 -5.2344 3.0547
-2.8310 -1.6429 2.8863
0.0000 0.0000 0.0000
-1.2708 -5.5524 1.7348
1.0343 -6.9392 3.5850
-3.0727 -8.2670 1.9451
-3.5759 -4.1656 -0.1154
0.5312 -2.8379 1.5246